Entry 1:
{
  "formula": "BeSi3Sn",
  "functional": "PBEsol",
  "state": "optimized geometry",
  "energy_ev_per_atom": -4.518,
  "formation_energy_uncorrected_ev_per_atom": 0.582,
  "space_group": "Pm-3m",
  "lattice": [[4.3983, 0.0000, 0.0000], [0.0000, 4.3983, 0.0000], [0.0000, 0.0000, 4.3983]],
  "species": ["Si", "Si", "Si", "Sn", "Be"],
  "frac_coords": [[0.0000, 0.5000, 0.0000], [0.0000, 0.0000, 0.5000], [0.5000, 0.0000, 0.0000], [0.5000, 0.5000, 0.5000], [0.0000, 0.0000, 0.0000]]
}

***

Entry 2:
{
  "formula": "MgSc3Ta",
  "functional": "PBEsol",
  "state": "optimized geometry",
  "energy_ev_per_atom": -5.509,
  "space_group": "Pm-3m",
  "ef_ev_per_atom": 1.31,
  "lattice": [[-2.1319, 2.2707, -3.8465], [-3.6247, -3.3701, 0.0195], [-2.6102, 2.8254, 3.1145]],
  "species": ["Sc", "Sc", "Sc", "Mg", "Ta"],
  "frac_coords": [[0.0000, 0.5000, 0.0000], [0.5000, 0.0000, 0.0000], [0.0000, 0.0000, 0.5000], [0.0000, 0.0000, 0.0000], [0.5000, 0.5000, 0.5000]]
}

***

Entry 3:
{
  "formula": "YMgRh2",
  "functional": "PBEsol",
  "state": "optimized geometry",
  "energy_ev_per_atom": -6.670,
  "space_group": "Cm",
  "ef_ev_per_atom": -0.47,
  "lattice": [[3.1822, 0.0000, 0.0000], [0.0000, 4.5528, 0.0351], [-1.5911, -1.6031, 4.7769]],
  "species": ["Mg", "Rh", "Rh", "Y"],
  "frac_coords": [[0.2666, 0.8094, 0.5332], [0.0083, 0.9514, 0.0166], [0.7384, 0.2911, 0.4769], [0.4866, 0.4480, 0.9733]]
}

***

Entry 4:
{
  "formula": "Mg3Si2H4O9",
  "functional": "PBEsol",
  "state": "optimized geometry",
  "energy_ev_per_atom": -6.547,
  "space_group": "P6_3cm",
  "lattice": [[5.3260, 0.0000, 0.0000], [-2.6630, 4.6125, 0.0000], [0.0000, 0.0000, 14.4676]],
  "species": ["O", "O", "O", "O", "O", "O", "O", "O", "O", "O", "O", "O", "O", "O", "O", "O", "O", "O", "H", "H", "H", "H", "H", "H", "H", "H", "Mg", "Mg", "Mg", "Mg", "Mg", "Mg", "Si", "Si", "Si", "Si"],
  "frac_coords": [[0.6645, 0.0000, 0.7046], [0.4820, 0.0000, 0.0072], [0.3355, 0.0000, 0.2046], [0.0000, 0.4820, 0.0072], [0.0000, 0.0000, 0.8491], [0.0000, 0.3355, 0.2046], [0.0000, 0.0000, 0.3491], [0.5180, 0.5180, 0.0072], [0.3333, 0.6667, 0.8537], [0.6667, 0.3333, 0.3537], [0.3355, 0.3355, 0.7046], [0.6667, 0.3333, 0.8537], [0.0000, 0.6645, 0.7046], [0.0000, 0.5180, 0.5072], [0.5180, 0.0000, 0.5072], [0.6645, 0.6645, 0.2046], [0.4820, 0.4820, 0.5072], [0.3333, 0.6667, 0.3537], [0.0000, 0.0000, 0.9162], [0.0000, 0.6480, 0.6374], [0.3520, 0.0000, 0.1374], [0.6480, 0.6480, 0.1374], [0.0000, 0.0000, 0.4162], [0.3520, 0.3520, 0.6374], [0.0000, 0.3520, 0.1374], [0.6480, 0.0000, 0.6374], [0.0000, 0.6691, 0.2715], [0.3309, 0.0000, 0.7715], [0.0000, 0.3309, 0.7715], [0.6691, 0.6691, 0.7715], [0.6691, 0.0000, 0.2715], [0.3309, 0.3309, 0.2715], [0.6667, 0.3333, 0.4644], [0.6667, 0.3333, 0.9644], [0.3333, 0.6667, 0.9644], [0.3333, 0.6667, 0.4644]]
}

***

Entry 5:
{
  "formula": "ZrGe2SbSe",
  "functional": "PBEsol",
  "state": "optimized geometry",
  "relative_energy_mev_per_atom": 537.1,
  "energy_ev_per_atom": -4.590,
  "formation_energy_uncorrected_ev_per_atom": 0.885,
  "space_group": "P4/mmm",
  "lattice": [[5.1391, 0.0000, 0.0000], [0.0000, 5.1391, 0.0000], [0.0000, 0.0000, 5.4199]],
  "species": ["Ge", "Ge", "Sb", "Se", "Zr"],
  "frac_coords": [[0.5000, 0.0000, 0.0000], [0.0000, 0.5000, 0.0000], [0.0000, 0.0000, 0.0000], [0.5000, 0.5000, 0.5000], [0.0000, 0.0000, 0.5000]]
}

***

Entry 6:
{
  "formula": "KNa2Hg2",
  "functional": "PBEsol",
  "state": "optimized geometry",
  "energy_ev_per_atom": -1.183,
  "space_group": "I4/mmm",
  "ef_ev_per_atom": -0.17,
  "lattice": [[4.7807, 0.0000, 0.0000], [0.0000, 4.7807, 0.0000], [-2.3903, -2.3903, 6.9323]],
  "species": ["Na", "Na", "Hg", "Hg", "K"],
  "frac_coords": [[0.2500, 0.7500, 0.5000], [0.7500, 0.2500, 0.5000], [0.3972, 0.3972, 0.7943], [0.6028, 0.6028, 0.2057], [0.0000, 0.0000, 0.0000]]
}

***

- Number 4 is which compound?
  Mg3Si2H4O9